An optimized crystal structure of Ca2TaCl, computed with GGA-PBE.

a = 5.4619 Å, b = 5.4619 Å, c = 5.4619 Å
α = 60.00°, β = 60.00°, γ = 60.00°
Atoms (fractional coordinates):
Cl1 0.0000 0.0000 0.0000
Ca1 0.7500 0.7500 0.7500
Ta1 0.5000 0.5000 0.5000
Ca2 0.2500 0.2500 0.2500

Results
- density of states at the Fermi level (states/eV per cell) = 5.179
- crystal system = cubic
- spin magnetization (μB per atom) = 1.24
- ΔE_f (raw) (meV/atom) = 535


An optimized crystal structure of MnAlCl2, computed with GGA-PBE.

a = 6.4694 Å, b = 6.4694 Å, c = 6.4694 Å
α = 145.56°, β = 145.56°, γ = 49.50°
Atoms (fractional coordinates):
Mn1 0.5000 0.5000 0.0000
Cl1 0.0000 0.0000 0.0000
Cl2 0.2500 0.7500 0.5000
Al1 0.7500 0.2500 0.5000

Results
- density of states at the Fermi level (states/eV per cell) = 1.876
- crystal system = tetragonal
- spin magnetization (μB per atom) = 1.08
- ΔE_f (raw) (meV/atom) = -30


An optimized crystal structure of InCoPb, computed with GGA-PBE.

a = 6.6864 Å, b = 6.6866 Å, c = 3.2062 Å
α = 76.12°, β = 76.13°, γ = 27.74°
Atoms (fractional coordinates):
Pb1 0.6346 0.6346 0.3654
In1 0.3751 0.3751 0.6249
Co1 0.9903 0.9903 0.0097

Results
- density of states at the Fermi level (states/eV per cell) = 2.335
- crystal system = tetragonal
- spin magnetization (μB per atom) = 0.21
- DFT formation energy (meV/atom) = 293


An optimized crystal structure of YMgTl2, computed with GGA-PBE.

a = 3.5630 Å, b = 3.5630 Å, c = 10.0968 Å
α = 79.84°, β = 79.84°, γ = 60.00°
Atoms (fractional coordinates):
Tl1 0.0877 0.0877 0.7368
Y1 0.6662 0.6662 0.0013
Tl2 0.2458 0.2458 0.2625
Mg1 0.5002 0.5002 0.4994

Results
- density of states at the Fermi level (states/eV per cell) = 3.411
- crystal system = trigonal
- spin magnetization (μB per atom) = 0.00
- DFT formation energy (meV/atom) = -103